1.
{"formula": "Y2MgSe4", "functional": "PBEsol", "state": "optimized geometry", "cell": [[0.000, 5.771, 5.771], [5.771, 0.000, 5.771], [5.771, 5.771, 0.000]], "species": ["Y", "Y", "Y", "Y", "Mg", "Mg", "Se", "Se", "Se", "Se", "Se", "Se", "Se", "Se"], "fractional_positions": [[0.000, 0.000, 0.000], [0.000, 0.000, 0.500], [0.000, 0.500, 0.000], [0.500, 0.000, 0.000], [0.375, 0.375, 0.375], [0.625, 0.625, 0.625], [0.236, 0.755, 0.755], [0.245, 0.245, 0.245], [0.245, 0.245, 0.764], [0.245, 0.764, 0.245], [0.755, 0.236, 0.755], [0.755, 0.755, 0.236], [0.755, 0.755, 0.755], [0.764, 0.245, 0.245]], "formation_energy_uncorrected_kj_per_mol_atoms": -163.6, "magmom_total_mub_per_fu": 0.0, "polymorph_energy_mev_per_atom": 0}

2.
{"formula": "Y3MgSe", "functional": "PBEsol", "state": "optimized geometry", "cell": [[5.325, 0.000, 0.000], [0.000, 5.325, 0.000], [0.000, 0.000, 5.325]], "species": ["Y", "Y", "Y", "Mg", "Se"], "fractional_positions": [[0.000, 0.000, 0.500], [0.000, 0.500, 0.000], [0.500, 0.000, 0.000], [0.500, 0.500, 0.500], [0.000, 0.000, 0.000]], "formation_energy_uncorrected_kj_per_mol_atoms": -53.1, "magmom_total_mub_per_fu": 0.0}

3.
{"formula": "Y2MgSe4", "functional": "PBEsol", "state": "optimized geometry", "cell": [[-4.215, 4.215, 4.389], [4.215, -4.215, 4.389], [4.215, 4.215, -4.389]], "species": ["Y", "Y", "Y", "Y", "Mg", "Mg", "Se", "Se", "Se", "Se", "Se", "Se", "Se", "Se"], "fractional_positions": [[0.001, 0.625, 0.876], [0.375, 0.251, 0.376], [0.749, 0.125, 0.124], [0.875, 0.999, 0.624], [0.250, 0.750, 0.500], [0.500, 0.500, 0.000], [0.000, 0.877, 0.260], [0.123, 0.383, 0.123], [0.133, 0.373, 0.623], [0.260, 0.000, 0.877], [0.490, 0.867, 0.240], [0.617, 0.740, 0.740], [0.627, 0.250, 0.760], [0.750, 0.510, 0.377]], "formation_energy_uncorrected_kj_per_mol_atoms": -161.1, "magmom_total_mub_per_fu": 0.0, "polymorph_energy_mev_per_atom": 25}

4.
{"formula": "YMgSe", "functional": "PBEsol", "state": "optimized geometry", "cell": [[0.000, 3.456, 3.456], [3.456, 0.000, 3.456], [3.456, 3.456, 0.000]], "species": ["Y", "Mg", "Se"], "fractional_positions": [[0.000, 0.000, 0.000], [0.750, 0.750, 0.750], [0.250, 0.250, 0.250]], "formation_energy_uncorrected_kj_per_mol_atoms": -26.7, "magmom_total_mub_per_fu": 0.0, "polymorph_energy_mev_per_atom": 586}

5.
{"formula": "YMgSe2", "functional": "PBEsol", "state": "optimized geometry", "cell": [[4.020, 0.000, 0.000], [0.000, 1.892, 5.857], [0.000, -1.892, 5.857]], "species": ["Y", "Mg", "Se", "Se"], "fractional_positions": [[0.000, 0.000, 0.000], [0.500, 0.776, 0.776], [0.000, 0.304, 0.304], [0.500, 0.558, 0.558]], "formation_energy_uncorrected_kj_per_mol_atoms": -142.2, "magmom_total_mub_per_fu": 0.0}

6.
{"formula": "YMgSe2", "functional": "PBEsol", "state": "optimized geometry", "cell": [[-1.951, 1.951, 5.925], [1.951, -1.951, 5.925], [1.951, 1.951, -5.925]], "species": ["Y", "Mg", "Se", "Se"], "fractional_positions": [[0.000, 0.000, 0.000], [0.750, 0.250, 0.500], [0.250, 0.750, 0.500], [0.500, 0.500, 0.000]], "formation_energy_uncorrected_kj_per_mol_atoms": -113.2, "magmom_total_mub_per_fu": 0.0}

7.
{"formula": "Y2MgSe", "functional": "PBEsol", "state": "optimized geometry", "cell": [[-1.777, 2.476, 5.634], [1.777, -2.476, 5.634], [1.777, 2.476, -5.634]], "species": ["Y", "Y", "Mg", "Se"], "fractional_positions": [[0.000, 0.000, 0.000], [0.723, 0.223, 0.500], [0.305, 0.805, 0.500], [0.518, 0.518, 0.000]], "formation_energy_uncorrected_kj_per_mol_atoms": -65.5, "magmom_total_mub_per_fu": 0.0, "polymorph_energy_mev_per_atom": 222}

8.
{"formula": "YMgSe2", "functional": "PBEsol", "state": "optimized geometry", "cell": [[1.929, 1.114, 6.749], [-1.929, 1.114, 6.749], [0.000, -2.227, 6.749]], "species": ["Y", "Mg", "Se", "Se"], "fractional_positions": [[0.000, 0.000, 0.000], [0.500, 0.500, 0.500], [0.244, 0.244, 0.244], [0.756, 0.756, 0.756]], "formation_energy_uncorrected_kj_per_mol_atoms": -143.3, "magmom_total_mub_per_fu": 0.0}

9.
{"formula": "Mg2ZnSe", "functional": "PBEsol", "state": "optimized geometry", "cell": [[3.150, -3.469, 0.000], [3.150, 3.469, 0.000], [0.000, 0.000, 3.504]], "species": ["Mg", "Mg", "Zn", "Se"], "fractional_positions": [[0.000, 0.500, 0.000], [0.500, 0.000, 0.000], [0.000, 0.000, 0.500], [0.500, 0.500, 0.500]], "formation_energy_uncorrected_kj_per_mol_atoms": -28.6, "magmom_total_mub_per_fu": 0.0, "polymorph_energy_mev_per_atom": 26}

10.
{"formula": "MgZnSe", "functional": "PBEsol", "state": "optimized geometry", "cell": [[3.737, 0.000, 0.000], [0.000, 3.737, 0.000], [0.000, 0.000, 8.515]], "species": ["Mg", "Mg", "Zn", "Zn", "Se", "Se"], "fractional_positions": [[0.250, 0.250, 0.151], [0.750, 0.750, 0.849], [0.250, 0.750, 0.500], [0.750, 0.250, 0.500], [0.250, 0.250, 0.831], [0.750, 0.750, 0.169]], "formation_energy_uncorrected_kj_per_mol_atoms": -56.2, "magmom_total_mub_per_fu": 0.0, "polymorph_energy_mev_per_atom": 0}

11.
{"formula": "MgZn2Se", "functional": "PBEsol", "state": "optimized geometry", "cell": [[3.583, 0.000, 0.000], [0.000, 3.583, 0.000], [0.000, 0.000, 5.929]], "species": ["Mg", "Zn", "Zn", "Se"], "fractional_positions": [[0.000, 0.000, 0.000], [0.000, 0.000, 0.539], [0.500, 0.500, 0.645], [0.500, 0.500, 0.127]], "formation_energy_uncorrected_kj_per_mol_atoms": -22.3, "magmom_total_mub_per_fu": 0.0}

12.
{"formula": "Mg2Zn2Se", "functional": "PBEsol", "state": "optimized geometry", "cell": [[3.856, 0.000, 0.000], [-1.928, 3.339, 0.000], [0.000, 0.000, 7.836]], "species": ["Mg", "Mg", "Zn", "Zn", "Se"], "fractional_positions": [[0.333, 0.667, 0.200], [0.667, 0.333, 0.800], [0.333, 0.667, 0.566], [0.667, 0.333, 0.434], [0.000, 0.000, 0.000]], "formation_energy_uncorrected_kj_per_mol_atoms": -35.2, "magmom_total_mub_per_fu": 0.0, "polymorph_energy_mev_per_atom": 0}

13.
{"formula": "MgZn2Se", "functional": "PBEsol", "state": "optimized geometry", "cell": [[1.863, 1.076, 6.479], [-1.863, 1.076, 6.479], [0.000, -2.151, 6.479]], "species": ["Mg", "Zn", "Zn", "Se"], "fractional_positions": [[0.000, 0.000, 0.000], [0.237, 0.237, 0.237], [0.495, 0.495, 0.495], [0.749, 0.749, 0.749]], "formation_energy_uncorrected_kj_per_mol_atoms": -19.2, "magmom_total_mub_per_fu": 0.0}

14.
{"formula": "MgZnSe", "functional": "PBEsol", "state": "optimized geometry", "cell": [[4.428, 0.000, 0.000], [-2.214, 3.835, 0.000], [0.000, 0.000, 3.589]], "species": ["Mg", "Zn", "Se"], "fractional_positions": [[0.000, 0.000, 0.000], [0.667, 0.333, 0.000], [0.333, 0.667, 0.500]], "formation_energy_uncorrected_kj_per_mol_atoms": -2.4, "magmom_total_mub_per_fu": 0.0, "polymorph_energy_mev_per_atom": 558}